A plane-wave DFT calculation with PBE was carried out for LaTbSmDy after structural relaxation. Values from VASP.

```
&SYSTEM
  ibrav = 0, nat = 4, ntyp = 4
/
ATOMIC_SPECIES
Dy 162.50 Dy.upf
La 138.91 La.upf
Tb 158.93 Tb.upf
Sm 150.36 Sm.upf
CELL_PARAMETERS angstrom
5.7650 0.0000 0.0000
2.8825 4.9926 0.0000
2.8825 1.6642 4.7071
ATOMIC_POSITIONS angstrom
Dy 5.7650 3.3284 2.3535
La 2.8825 1.6642 1.1768
Tb 0.0000 0.0000 0.0000
Sm 8.6475 4.9926 3.5303
```

- Energy relative to the lowest polymorph listed for this composition: 0 meV/atom
- Magnetic moment: 0.000 μB per atom
- V: 33.87 Å³ per atom
- Formation energy: 0.464 eV per formula unit

A plane-wave DFT calculation with PBE was carried out for BeTlCl2 after structural relaxation. Values from VASP.

```
&SYSTEM
  ibrav = 0, nat = 4, ntyp = 3
/
ATOMIC_SPECIES
Cl 35.45 Cl.upf
Tl 204.38 Tl.upf
Be 9.01 Be.upf
CELL_PARAMETERS angstrom
6.1164 -0.0073 0.0518
5.3286 3.0028 0.0518
1.7169 0.4494 5.7571
ATOMIC_POSITIONS angstrom
Cl 10.4383 2.7321 0.9425
Tl 7.2260 1.8913 3.0880
Be 5.3839 1.4092 5.6510
Cl 9.8564 2.5798 4.9704
```

- Energy relative to the lowest polymorph listed for this composition: 168 meV/atom
- Magnetic moment: 0.000 μB per atom
- V: 26.42 Å³ per atom
- Formation energy (no corrections): -599 meV per atom

A plane-wave DFT calculation with PBE was carried out for NdDy6Tl6 after structural relaxation. Values from VASP.

```
&SYSTEM
  ibrav = 0, nat = 13, ntyp = 3
/
ATOMIC_SPECIES
Dy 162.50 Dy.upf
Tl 204.38 Tl.upf
Nd 144.24 Nd.upf
CELL_PARAMETERS angstrom
6.4393 -0.0005 0.0000
-3.2193 5.5769 0.0000
0.0000 0.0000 10.5725
ATOMIC_POSITIONS angstrom
Dy 0.0000 0.0000 3.5604
Tl 1.6100 2.7882 2.6021
Dy 3.2198 1.8587 5.2863
Tl 3.2196 -0.0002 2.6022
Tl 3.2196 -0.0002 7.9704
Dy 3.2198 1.8586 0.0000
Dy 0.0000 0.0000 7.0121
Tl 1.6100 2.7882 7.9704
Nd 0.0000 0.0000 0.0000
Tl -1.6096 2.7884 7.9704
Dy 0.0002 3.7178 0.0000
Tl -1.6096 2.7884 2.6022
Dy 0.0003 3.7177 5.2863
```

- Magnetic moment: 0.093 μB per atom
- V: 29.20 Å³ per atom
- Formation energy: -2.581 eV per formula unit

A plane-wave DFT calculation with PBE was carried out for Sm2Ho3Er7 after structural relaxation. Values from VASP.

```
&SYSTEM
  ibrav = 0, nat = 12, ntyp = 3
/
ATOMIC_SPECIES
Sm 150.36 Sm.upf
Er 167.26 Er.upf
Ho 164.93 Ho.upf
CELL_PARAMETERS angstrom
-3.4206 -0.8544 -0.6277
0.7480 -4.9299 2.6341
-5.3271 10.3793 14.9016
ATOMIC_POSITIONS angstrom
Sm -3.1217 3.1208 12.7637
Er -4.0622 6.4908 13.3014
Er -2.2841 3.6497 7.4793
Er 0.0000 0.0000 0.0000
Er -2.2950 1.7997 10.0564
Er -5.5861 3.8985 14.9190
Er -2.4136 0.6966 1.9890
Ho -4.8241 4.5483 9.8822
Er -0.5169 -1.0413 4.2343
Sm -1.4574 2.3287 4.7720
Ho -3.1756 0.0468 7.0258
Ho -1.3363 -2.8921 1.0032
```

- Energy relative to the lowest polymorph listed for this composition: 32 meV/atom
- Magnetic moment: 0.000 μB per atom
- V: 31.49 Å³ per atom
- Formation energy: 1.368 eV per formula unit

A plane-wave DFT calculation with PBE was carried out for Pu2Co12Ge7 after structural relaxation. Values from VASP.

```
&SYSTEM
  ibrav = 0, nat = 21, ntyp = 3
/
ATOMIC_SPECIES
Co 58.93 Co.upf
Ge 72.64 Ge.upf
Pu 244.00 Pu.upf
CELL_PARAMETERS angstrom
-1.4121 -3.4400 -0.5894
4.1617 -0.2743 -8.3697
4.5047 -3.1456 7.5670
ATOMIC_POSITIONS angstrom
Co 2.6401 -1.7037 3.6184
Ge 4.8475 -3.1423 -5.2986
Co 3.7579 -4.2246 3.6288
Pu 4.2760 -1.2314 -3.0574
Ge 4.4456 -3.6614 -1.3060
Co 4.9325 -0.9617 -6.2046
Co 5.8285 -3.9014 -3.2187
Co 4.2521 -1.7507 0.0306
Co 2.2843 -3.2184 1.2866
Co 2.2063 -2.7393 -1.3231
Ge 7.2841 -3.1687 1.0429
Pu -0.7060 -1.7200 -0.2947
Co 2.6751 -2.2136 -5.5146
Ge 2.1174 -0.9124 0.2526
Co 5.0108 -4.2825 0.9648
Co 1.4210 -0.2551 -1.9158
Co 6.2787 -3.1111 3.1153
Co 6.4746 -2.4775 -1.0520
Ge 1.4169 -2.0505 -3.4518
Ge 3.7695 -2.4843 5.4689
Ge 4.3903 -2.1885 2.2548
```

- Magnetic moment: 0.620 μB per atom
- V: 13.58 Å³ per atom
- Formation energy: -5.068 eV per formula unit

A plane-wave DFT calculation with PBE was carried out for K2SrNiCl6 after structural relaxation. Values from VASP.

```
&SYSTEM
  ibrav = 0, nat = 20, ntyp = 4
/
ATOMIC_SPECIES
Cl 35.45 Cl.upf
Ni 58.69 Ni.upf
K 39.10 K.upf
Sr 87.62 Sr.upf
CELL_PARAMETERS angstrom
7.1852 0.0000 0.0000
3.5926 6.2225 0.0000
3.5926 2.0742 13.4496
ATOMIC_POSITIONS angstrom
Cl 9.0783 5.2413 1.4219
Cl 7.1852 6.1325 5.3231
Cl 5.4668 5.1404 8.1265
Ni 0.0000 0.0000 0.0000
Cl 7.1852 1.9624 1.4219
Ni 7.1852 4.1484 6.7248
K 10.7778 6.2225 5.7368
Cl 5.2921 5.2413 1.4219
K 3.5926 2.0742 7.7128
Cl 9.0783 3.0554 12.0277
Cl 8.9035 5.1404 8.1265
Cl 5.2921 3.0554 12.0277
Sr 7.1852 4.1484 10.1939
K 3.5926 2.0742 0.9873
Cl 7.1852 2.1642 8.1265
Cl 7.1852 6.3343 12.0277
K 10.7778 6.2225 12.4623
Cl 8.9035 3.1563 5.3231
Cl 5.4668 3.1563 5.3231
Sr 7.1852 4.1484 3.2557
```

- Magnetic moment: 0.185 μB per atom
- V: 30.07 Å³ per atom
- Formation energy (no corrections): -1644 meV per atom

A plane-wave DFT calculation with PBE was carried out for ScSiRu after structural relaxation. Values from VASP.

```
&SYSTEM
  ibrav = 0, nat = 3, ntyp = 3
/
ATOMIC_SPECIES
Ru 101.07 Ru.upf
Sc 44.96 Sc.upf
Si 28.09 Si.upf
CELL_PARAMETERS angstrom
4.3073 0.0000 0.0000
2.1537 3.7303 0.0000
2.1537 1.2434 3.5169
ATOMIC_POSITIONS angstrom
Ru 4.3073 2.4868 1.7585
Sc 2.1537 1.2434 0.8792
Si 0.0000 0.0000 0.0000
```

- Magnetic moment: 0.000 μB per atom
- V: 18.84 Å³ per atom
- Formation energy (no corrections): 283 meV per atom

A plane-wave DFT calculation with PBE was carried out for Ce4IrSeCl2 after structural relaxation. Values from VASP.

```
&SYSTEM
  ibrav = 0, nat = 8, ntyp = 4
/
ATOMIC_SPECIES
Cl 35.45 Cl.upf
Ir 192.22 Ir.upf
Ce 140.12 Ce.upf
Se 78.96 Se.upf
CELL_PARAMETERS angstrom
-3.7013 -1.5021 -0.5229
2.1569 -6.3980 3.1123
-2.4598 4.2937 5.0767
ATOMIC_POSITIONS angstrom
Cl -3.0805 1.3958 2.2769
Ir -0.7722 -3.9501 1.2947
Ce -2.0964 -2.2756 5.8575
Se 0.0000 0.0000 0.0000
Ce -1.3047 1.5564 4.7642
Ce 1.0018 -3.6607 3.4248
Ce -1.9078 -1.3309 1.8087
Cl -0.1515 -1.0522 4.0945
```

- Magnetic moment: 0.465 μB per atom
- V: 25.13 Å³ per atom
- Formation energy (no corrections): -1360 meV per atom

A plane-wave DFT calculation with PBE was carried out for NaCaSn2Br6 after structural relaxation. Values from VASP.

```
&SYSTEM
  ibrav = 0, nat = 20, ntyp = 4
/
ATOMIC_SPECIES
Sn 118.71 Sn.upf
Br 79.90 Br.upf
Na 22.99 Na.upf
Ca 40.08 Ca.upf
CELL_PARAMETERS angstrom
-0.5656 6.9129 3.7810
-1.0688 -3.8575 6.8931
10.5231 0.0175 1.6415
ATOMIC_POSITIONS angstrom
Sn 6.0394 1.2390 6.6974
Br 5.6068 0.8070 3.8119
Sn 0.0671 3.1419 10.5275
Br 5.1236 -1.4221 7.1016
Na -0.5344 -1.9288 3.4465
Na 4.9787 3.4652 2.7112
Br 0.1058 4.4108 4.6028
Br 9.2654 0.8883 4.4280
Ca 4.7271 -1.9200 4.2673
Sn 2.8492 1.8339 5.6181
Br 1.9768 -1.1988 4.8920
Ca -0.2828 3.4565 1.8905
Br 3.7651 4.4949 5.2139
Br -0.3767 2.1845 7.8875
Br 8.7829 -1.3380 7.7127
Br 6.5713 0.8796 10.0812
Br 6.9118 4.2717 7.4235
Br 2.3173 2.1932 2.2343
Br 3.2818 2.2658 8.5036
Sn 8.8216 -0.0691 1.7880
```

- Magnetic moment: 0.000 μB per atom
- V: 33.53 Å³ per atom
- Formation energy (no corrections): -1134 meV per atom

A plane-wave DFT calculation with PBE was carried out for BaGaTeCl2 after structural relaxation. Values from VASP.

```
&SYSTEM
  ibrav = 0, nat = 5, ntyp = 4
/
ATOMIC_SPECIES
Ga 69.72 Ga.upf
Te 127.60 Te.upf
Cl 35.45 Cl.upf
Ba 137.33 Ba.upf
CELL_PARAMETERS angstrom
5.7463 0.0000 0.0000
0.0000 13.3357 0.0000
0.0000 0.0000 5.7463
ATOMIC_POSITIONS angstrom
Ga 0.0000 6.6679 0.0000
Te 2.8731 6.6679 2.8731
Cl 0.0000 0.0000 2.8731
Cl 2.8731 0.0000 0.0000
Ba 0.0000 0.0000 0.0000
```

- Magnetic moment: 0.200 μB per atom
- V: 88.07 Å³ per atom
- Formation energy (no corrections): -782 meV per atom

A plane-wave DFT calculation with PBE was carried out for ErInGa2 after structural relaxation. Values from VASP.

```
&SYSTEM
  ibrav = 0, nat = 4, ntyp = 3
/
ATOMIC_SPECIES
In 114.82 In.upf
Ga 69.72 Ga.upf
Er 167.26 Er.upf
CELL_PARAMETERS angstrom
4.2691 0.0000 0.0000
0.0000 4.4472 0.0000
0.0000 0.0000 4.4472
ATOMIC_POSITIONS angstrom
In 2.1345 0.0000 0.0000
Ga 0.0000 2.2236 0.0000
Ga 0.0000 0.0000 2.2236
Er 2.1345 2.2236 2.2236
```

- Energy relative to the lowest polymorph listed for this composition: 0 meV/atom
- Magnetic moment: 0.000 μB per atom
- V: 21.11 Å³ per atom
- Formation energy: -1.824 eV per formula unit

What did the eleventh record say?
A plane-wave DFT calculation with PBE was carried out for ErInGa2 after structural relaxation. Values from VASP.

```
&SYSTEM
  ibrav = 0, nat = 4, ntyp = 3
/
ATOMIC_SPECIES
In 114.82 In.upf
Ga 69.72 Ga.upf
Er 167.26 Er.upf
CELL_PARAMETERS angstrom
4.2691 0.0000 0.0000
0.0000 4.4472 0.0000
0.0000 0.0000 4.4472
ATOMIC_POSITIONS angstrom
In 2.1345 0.0000 0.0000
Ga 0.0000 2.2236 0.0000
Ga 0.0000 0.0000 2.2236
Er 2.1345 2.2236 2.2236
```

- Energy relative to the lowest polymorph listed for this composition: 0 meV/atom
- Magnetic moment: 0.000 μB per atom
- V: 21.11 Å³ per atom
- Formation energy: -1.824 eV per formula unit